CrB3Sb | PBE | optimized geometry

As for the uncorrected energy: -20.12 eV/f.u. The offset from the most stable computed form comes out at 1545 meV/atom. The calculation puts the magnetization at 0.2 μB/f.u. As for the symmetry: Pm-3m.

Lattice parameters (Å, degrees): 4.3847 4.3847 4.3847 90.00 90.00 90.00
Last column: nearest neighbours and their distance in Å.
Element x y z (fractional)
Cr: 0.0000 0.0000 0.0000  12 B 3.10
B: 0.0000 0.5000 0.5000  2 Sb 2.19
B: 0.5000 0.0000 0.5000  2 Sb 2.19
B: 0.5000 0.5000 0.0000  2 Sb 2.19
Sb: 0.5000 0.5000 0.5000  6 B 2.19

---

Dy3ZnAg | PBE | optimized geometry

As for the uncorrected energy: -18.75 eV/f.u. The offset from the most stable computed form comes out at 78 meV/atom. The formation energy comes out at -0.16 eV per atom. The calculation puts the magnetization at 0.0 μB/f.u. As for the symmetry: P2_1/c.

Lattice parameters (Å, degrees): 6.9132 7.5281 9.8959 90.00 94.40 90.00
Last column: nearest neighbours and their distance in Å.
Element x y z (fractional)
Dy: 0.1719 0.1466 0.4022  3 Zn 2.96-3.01, 2 Ag 3.01-3.11
Dy: 0.1719 0.3534 0.9022  3 Zn 2.96-3.01, 2 Ag 3.01-3.11
Dy: 0.2214 0.5361 0.5910  1 Ag 3.00, 3 Zn 3.04-3.30
Dy: 0.2214 0.9639 0.0910  1 Ag 3.00, 3 Zn 3.04-3.30
Dy: 0.3198 0.5314 0.2274  3 Ag 2.98-3.19, 2 Zn 3.00-3.23
Dy: 0.3198 0.9686 0.7274  3 Ag 2.98-3.19, 2 Zn 3.00-3.23
Dy: 0.6802 0.0314 0.2726  3 Ag 2.98-3.19, 2 Zn 3.00-3.23
Dy: 0.6802 0.4686 0.7726  3 Ag 2.98-3.19, 2 Zn 3.00-3.23
Dy: 0.7786 0.0361 0.9090  1 Ag 3.00, 3 Zn 3.04-3.30
Dy: 0.7786 0.4639 0.4090  1 Ag 3.00, 3 Zn 3.04-3.30
Dy: 0.8281 0.6466 0.0978  3 Zn 2.96-3.01, 2 Ag 3.01-3.11
Dy: 0.8281 0.8534 0.5978  3 Zn 2.96-3.01, 2 Ag 3.01-3.11
Zn: 0.0436 0.7254 0.8558  1 Ag 2.81, 6 Dy 2.96-3.12
Zn: 0.0436 0.7746 0.3558  1 Ag 2.81, 6 Dy 2.96-3.12
Zn: 0.9564 0.2254 0.6442  1 Ag 2.81, 6 Dy 2.96-3.12
Zn: 0.9564 0.2746 0.1442  1 Ag 2.81, 6 Dy 2.96-3.12
Ag: 0.4366 0.6866 0.9449  1 Zn 2.81, 5 Dy 2.98-3.11, 1 Ag 3.12
Ag: 0.4366 0.8134 0.4449  1 Zn 2.81, 5 Dy 2.98-3.11, 1 Ag 3.12
Ag: 0.5634 0.1866 0.5551  1 Zn 2.81, 5 Dy 2.98-3.11, 1 Ag 3.12
Ag: 0.5634 0.3134 0.0551  1 Zn 2.81, 5 Dy 2.98-3.11, 1 Ag 3.12

---

LiSb2Ru | PBE | optimized geometry

As for the uncorrected energy: -20.08 eV/f.u. The offset from the most stable computed form comes out at 27 meV/atom. The calculation puts the magnetization at 0.0 μB/f.u. As for the symmetry: C2/m.

Lattice parameters (Å, degrees): 4.4552 4.4552 5.9416 100.09 100.09 43.41
Last column: nearest neighbours and their distance in Å.
Element x y z (fractional)
Li: 0.0000 0.0000 0.0000  6 Sb 2.78-2.96
Sb: 0.2374 0.2374 0.7266  3 Ru 2.72-2.76, 3 Li 2.78-2.96
Sb: 0.7626 0.7626 0.2734  3 Ru 2.72-2.76, 3 Li 2.78-2.96
Ru: 0.5000 0.5000 0.5000  6 Sb 2.72-2.76

---

Pm2Pr2Sm4Y | PBE | optimized geometry

As for the uncorrected energy: -44.33 eV/f.u. The formation energy comes out at 0.01 eV per atom. The calculation puts the magnetization at 0.0 μB/f.u. As for the symmetry: C2/m.

Lattice parameters (Å, degrees): 9.7211 9.7211 9.7899 115.13 115.13 21.83
Last column: nearest neighbours and their distance in Å.
Element x y z (fractional)
Pm: 0.1473 0.1473 0.1652  7 Sm 3.62-3.68, 3 Pr 3.64-3.66, 2 Pm 3.68
Pm: 0.8527 0.8527 0.8348  7 Sm 3.62-3.68, 3 Pr 3.64-3.66, 2 Pm 3.68
Pr: 0.3344 0.3344 0.5005  3 Sm 3.61-3.63, 3 Pm 3.64-3.66, 2 Y 3.66, 4 Pr 3.68-3.71
Pr: 0.6656 0.6656 0.4995  3 Sm 3.61-3.63, 3 Pm 3.64-3.66, 2 Y 3.66, 4 Pr 3.68-3.71
Sm: 0.1853 0.1853 0.8340  3 Pm 3.62-3.68, 6 Sm 3.62-3.68, 2 Pr 3.63, 1 Y 3.63
Sm: 0.4813 0.4813 0.1678  1 Pr 3.61, 2 Y 3.62, 4 Pm 3.62-3.68, 5 Sm 3.65-3.68
Sm: 0.5187 0.5187 0.8322  1 Pr 3.61, 2 Y 3.62, 4 Pm 3.62-3.68, 5 Sm 3.65-3.68
Sm: 0.8147 0.8147 0.1660  3 Pm 3.62-3.68, 6 Sm 3.62-3.68, 2 Pr 3.63, 1 Y 3.63
Y: 0.0000 0.0000 0.5000  6 Sm 3.62-3.63, 4 Pr 3.66, 2 Y 3.68

---

K2ScAuF6 | PBE | optimized geometry

As for the uncorrected energy: -50.39 eV/f.u. The calculation puts the magnetization at 0.0 μB/f.u. As for the symmetry: Fm-3m.

Lattice parameters (Å, degrees): 6.3499 6.3499 6.3499 60.00 60.00 60.00
Last column: nearest neighbours and their distance in Å.
Element x y z (fractional)
K: 0.2500 0.2500 0.2500  12 F 3.18
K: 0.7500 0.7500 0.7500  12 F 3.18
Sc: 0.0000 0.0000 0.0000  6 F 2.02
Au: 0.5000 0.5000 0.5000  6 F 2.47
F: 0.2254 0.2254 0.7746  1 Sc 2.02
F: 0.2254 0.7746 0.2254  1 Sc 2.02
F: 0.2254 0.7746 0.7746  1 Sc 2.02
F: 0.7746 0.2254 0.2254  1 Sc 2.02
F: 0.7746 0.2254 0.7746  1 Sc 2.02
F: 0.7746 0.7746 0.2254  1 Sc 2.02

---

SrRe3 | PBE | optimized geometry

As for the uncorrected energy: -35.29 eV/f.u. The offset from the most stable computed form comes out at 213 meV/atom. The formation energy comes out at 0.93 eV per atom. The calculation puts the magnetization at 0.0 μB/f.u. As for the symmetry: Immm.

Lattice parameters (Å, degrees): 5.9474 5.9474 5.9474 152.49 129.04 58.88
Last column: nearest neighbours and their distance in Å.
Element x y z (fractional)
Sr: 0.0000 0.0000 0.0000  2 Sr 2.83, 4 Re 2.92
Re: 0.2863 0.7863 0.5000  4 Re 2.63-2.83
Re: 0.5000 0.5000 0.0000  6 Re 2.63-2.83, 4 Sr 2.92
Re: 0.7137 0.2137 0.5000  4 Re 2.63-2.83